#one
Below is a relaxed structure of TbSm3Hg2, with properties calculated at the GGA-PBE level.

Computed properties:
For the density of states at the Fermi level, the calculation gives 1.2574 states/eV/atom.

Unit cell a=7.221 b=7.595 c=9.038 alpha=114.85 beta=113.55 gamma=90.00
Fractional positions:
Hg  0.839  0.139  0.277
Hg  0.161  0.861  0.723
Hg  0.562  0.361  0.723
Hg  0.438  0.639  0.277
Sm  0.228  0.978  0.455
Sm  0.228  0.478  0.455
Sm  0.772  0.022  0.545
Sm  0.500  0.250  0.000
Sm  0.500  0.750  0.000
Sm  0.772  0.522  0.545
Tb  0.000  0.000  0.000
Tb  0.000  0.500  0.000

#two
Below is a relaxed structure of TbSm3Hg2, with properties calculated at the GGA-PBE level.

Computed properties:
For the density of states at the Fermi level, the calculation gives 0.5260 states/eV/atom.

Unit cell a=5.223 b=7.111 c=9.449 alpha=90.00 beta=90.00 gamma=90.00
Fractional positions:
Tb  0.500  0.514  0.554
Tb  0.500  0.014  0.446
Hg  0.000  0.267  0.649
Hg  0.500  0.734  0.849
Hg  0.500  0.234  0.151
Hg  0.000  0.767  0.351
Sm  0.500  0.173  0.825
Sm  0.000  0.986  0.054
Sm  0.000  0.326  0.328
Sm  0.000  0.826  0.672
Sm  0.500  0.673  0.175
Sm  0.000  0.486  0.946

Least stable: #one

#one
Below is a relaxed structure of TbSmHg4, with properties calculated at the GGA-PBE level.

Computed properties:
For the density of states at the Fermi level, the calculation gives 0.7043 states/eV/atom.

Unit cell a=3.696 b=6.142 c=8.090 alpha=110.05 beta=76.80 gamma=72.49
Site moments in Bohr magnetons follow the coordinates.
Fractional positions:
Hg  0.170  0.498  0.161  0.00
Hg  0.830  0.502  0.839  0.00
Hg  0.661  0.009  0.669  0.00
Hg  0.339  0.991  0.331  0.00
Sm  0.500  0.500  0.500  0.10
Tb  0.000  0.000  0.000  0.09

#two
Below is a relaxed structure of TbSmHg4, with properties calculated at the GGA-PBE level.

Computed properties:
For the density of states at the Fermi level, the calculation gives 0.7522 states/eV/atom.

Unit cell a=5.977 b=5.977 c=5.977 alpha=60.00 beta=60.00 gamma=60.00
Fractional positions:
Hg  0.625  0.625  0.125
Hg  0.625  0.625  0.625
Hg  0.125  0.625  0.625
Hg  0.625  0.125  0.625
Sm  0.000  0.000  0.000
Tb  0.250  0.250  0.250

Least stable: #two

#one
Below is a relaxed structure of TbSmHg, with properties calculated at the GGA-PBE level.

Computed properties:
For the density of states at the Fermi level, the calculation gives 1.2744 states/eV/atom.

Unit cell a=3.671 b=3.671 c=6.938 alpha=105.34 beta=105.34 gamma=90.00
Site moments in Bohr magnetons follow the coordinates.
Fractional positions:
Hg  0.671  0.671  0.342  0.00
Sm  0.011  0.011  0.021  0.15
Tb  0.319  0.319  0.637  0.21

#two
Below is a relaxed structure of TbSmHg, with properties calculated at the GGA-PBE level.

Computed properties:
For the density of states at the Fermi level, the calculation gives 1.0169 states/eV/atom.

Unit cell a=5.227 b=5.227 c=8.136 alpha=89.99 beta=108.69 gamma=120.09
Fractional positions:
Tb  0.718  0.992  0.710
Tb  0.046  0.157  0.203
Hg  0.167  0.716  0.882
Hg  0.438  0.853  0.291
Sm  0.559  0.412  0.972
Sm  0.889  0.578  0.467

#three
Below is a relaxed structure of TbSmHg, with properties calculated at the GGA-PBE level.

Computed properties:
For the density of states at the Fermi level, the calculation gives 1.5962 states/eV/atom.

Unit cell a=5.161 b=5.161 c=5.161 alpha=60.00 beta=60.00 gamma=60.00
Fractional positions:
Hg  0.250  0.250  0.250
Sm  0.500  0.500  0.500
Tb  0.000  0.000  0.000

Least stable: #three

#one
Below is a relaxed structure of TbSmHg, with properties calculated at the GGA-PBE level.

Computed properties:
For the density of states at the Fermi level, the calculation gives 0.5284 states/eV/atom.

Unit cell a=5.144 b=9.347 c=7.233 alpha=90.00 beta=90.00 gamma=90.00
Fractional positions:
Sm  0.250  0.808  0.485
Sm  0.250  0.692  0.985
Sm  0.750  0.192  0.515
Sm  0.750  0.308  0.015
Tb  0.750  0.925  0.167
Tb  0.250  0.425  0.333
Tb  0.750  0.575  0.667
Tb  0.250  0.075  0.833
Hg  0.250  0.398  0.757
Hg  0.750  0.898  0.743
Hg  0.750  0.602  0.243
Hg  0.250  0.102  0.257

#two
Below is a relaxed structure of TbSmHg, with properties calculated at the GGA-PBE level.

Computed properties:
For the density of states at the Fermi level, the calculation gives 1.1593 states/eV/atom.

Unit cell a=3.793 b=5.171 c=5.171 alpha=120.00 beta=90.00 gamma=90.00
Fractional positions:
Tb  0.419  0.333  0.667
Sm  0.960  0.000  0.000
Hg  0.621  0.667  0.333

Least stable: #two

#one
Below is a relaxed structure of Tb3Sm2Hg2, with properties calculated at the GGA-PBE level.

Computed properties:
For the density of states at the Fermi level, the calculation gives 1.3924 states/eV/atom.

Unit cell a=3.618 b=3.599 c=16.124 alpha=90.00 beta=83.56 gamma=90.00
Site moments in Bohr magnetons follow the coordinates.
Fractional positions:
Tb  0.000  0.000  0.000  0.10
Tb  0.123  0.000  0.753  0.01
Tb  0.877  0.000  0.247  0.01
Hg  0.439  0.500  0.123  0.00
Hg  0.561  0.500  0.877  0.00
Sm  0.703  0.500  0.595  0.00
Sm  0.297  0.500  0.405  0.00

#two
Below is a relaxed structure of Tb3Sm2Hg2, with properties calculated at the GGA-PBE level.

Computed properties:
For the density of states at the Fermi level, the calculation gives 1.0331 states/eV/atom.

Unit cell a=5.422 b=5.418 c=8.590 alpha=108.41 beta=90.00 gamma=120.02
Fractional positions:
Sm  0.076  0.151  0.727
Sm  0.924  0.849  0.273
Hg  0.786  0.573  0.860
Hg  0.214  0.427  0.140
Tb  0.500  0.000  0.000
Tb  0.658  0.316  0.474
Tb  0.342  0.684  0.526

Least stable: #one

#one
Below is a relaxed structure of TbSm2Hg4, with properties calculated at the GGA-PBE level.

Computed properties:
For the density of states at the Fermi level, the calculation gives 0.7860 states/eV/atom.

Unit cell a=5.150 b=5.150 c=9.344 alpha=74.00 beta=74.00 gamma=60.00
Fractional positions:
Sm  0.756  0.756  0.732
Sm  0.244  0.244  0.268
Hg  0.874  0.874  0.379
Hg  0.126  0.126  0.621
Hg  0.373  0.373  0.882
Hg  0.627  0.627  0.118
Tb  0.000  0.000  0.000

#two
Below is a relaxed structure of TbSm2Hg4, with properties calculated at the GGA-PBE level.

Computed properties:
For the density of states at the Fermi level, the calculation gives 0.9834 states/eV/atom.

Unit cell a=5.647 b=5.647 c=8.742 alpha=108.84 beta=108.84 gamma=90.00
Fractional positions:
Hg  0.000  0.500  0.000
Hg  0.196  0.196  0.391
Hg  0.500  0.000  0.000
Hg  0.804  0.804  0.609
Sm  0.604  0.604  0.208
Sm  0.396  0.396  0.792
Tb  0.000  0.000  0.000

Least stable: #two

#one
Below is a relaxed structure of Tb2SmHg2, with properties calculated at the GGA-PBE level.

Computed properties:
For the density of states at the Fermi level, the calculation gives 1.0627 states/eV/atom.

Unit cell a=3.764 b=5.372 c=13.857 alpha=90.00 beta=97.81 gamma=90.00
Fractional positions:
Tb  0.236  0.750  0.472
Tb  0.952  0.250  0.905
Tb  0.764  0.250  0.528
Tb  0.048  0.750  0.095
Sm  0.147  0.250  0.292
Sm  0.853  0.750  0.708
Hg  0.644  0.750  0.288
Hg  0.546  0.250  0.093
Hg  0.356  0.250  0.712
Hg  0.454  0.750  0.907

#two
Below is a relaxed structure of Tb2SmHg2, with properties calculated at the GGA-PBE level.

Computed properties:
For the density of states at the Fermi level, the calculation gives 1.3333 states/eV/atom.

Unit cell a=5.214 b=5.214 c=6.370 alpha=90.00 beta=90.00 gamma=120.00
Site moments in Bohr magnetons follow the coordinates.
Fractional positions:
Hg  0.667  0.333  0.827  0.01
Hg  0.333  0.667  0.173  0.01
Tb  0.667  0.333  0.342  0.18
Tb  0.333  0.667  0.658  0.18
Sm  0.000  0.000  0.000  0.11

Least stable: #two

#one
Below is a relaxed structure of TbSm4Hg, with properties calculated at the GGA-PBE level.

Computed properties:
For the density of states at the Fermi level, the calculation gives 1.3665 states/eV/atom.

Unit cell a=6.457 b=9.126 c=8.330 alpha=113.38 beta=100.03 gamma=112.92
Fractional positions:
Hg  0.251  0.001  0.002
Hg  0.749  0.999  0.998
Tb  0.658  0.408  0.816
Tb  0.342  0.592  0.184
Sm  0.637  0.089  0.377
Sm  0.775  0.400  0.233
Sm  0.225  0.600  0.767
Sm  0.241  0.288  0.377
Sm  0.042  0.166  0.767
Sm  0.759  0.712  0.623
Sm  0.363  0.911  0.623
Sm  0.958  0.834  0.233

#two
Below is a relaxed structure of TbSm4Hg, with properties calculated at the GGA-PBE level.

Computed properties:
For the density of states at the Fermi level, the calculation gives 1.3542 states/eV/atom.

Unit cell a=3.645 b=3.645 c=14.167 alpha=90.00 beta=90.00 gamma=90.00
Fractional positions:
Sm  0.500  0.500  0.823
Sm  0.000  0.000  0.644
Sm  0.000  0.000  0.356
Sm  0.500  0.500  0.177
Tb  0.000  0.000  0.000
Hg  0.500  0.500  0.500

Least stable: #one

#one
Below is a relaxed structure of Tb3SmHg4, with properties calculated at the GGA-PBE level.

Computed properties:
For the density of states at the Fermi level, the calculation gives 1.1262 states/eV/atom.

Unit cell a=5.278 b=7.582 c=10.555 alpha=90.00 beta=90.00 gamma=90.00
Site moments in Bohr magnetons follow the coordinates.
Fractional positions:
Hg  0.001  0.755  0.750  0.01
Hg  0.500  0.755  0.500  0.01
Hg  0.999  0.245  0.250  0.01
Hg  0.500  0.245  0.000  0.01
Hg  0.500  0.245  0.500  0.01
Hg  0.999  0.755  0.250  0.01
Hg  0.001  0.245  0.750  0.01
Hg  0.500  0.755  0.000  0.01
Tb  0.499  0.000  0.250  0.13
Tb  0.501  0.500  0.750  0.20
Tb  0.000  0.000  0.500  0.14
Tb  0.000  0.000  0.000  0.14
Tb  0.499  0.500  0.250  0.20
Tb  0.501  0.000  0.750  0.13
Sm  0.000  0.500  0.500  0.17
Sm  0.000  0.500  0.000  0.17

#two
Below is a relaxed structure of Tb3SmHg4, with properties calculated at the GGA-PBE level.

Computed properties:
For the density of states at the Fermi level, the calculation gives 0.9826 states/eV/atom.

Unit cell a=3.625 b=7.509 c=9.339 alpha=113.68 beta=101.19 gamma=90.00
Fractional positions:
Tb  0.795  0.796  0.590
Tb  0.205  0.204  0.410
Tb  0.000  0.500  0.000
Hg  0.631  0.834  0.262
Hg  0.369  0.572  0.738
Hg  0.631  0.428  0.262
Hg  0.369  0.166  0.738
Sm  0.500  0.000  0.000

Least stable: #two

#one
Below is a relaxed structure of Sm6TcHg2, with properties calculated at the GGA-PBE level.

Computed properties:
For the density of states at the Fermi level, the calculation gives 1.3558 states/eV/atom.

Unit cell a=5.321 b=7.218 c=8.634 alpha=114.71 beta=107.91 gamma=90.00
Fractional positions:
Sm  0.845  0.598  0.689
Sm  0.500  0.771  0.000
Sm  0.155  0.909  0.311
Sm  0.500  0.229  0.000
Sm  0.155  0.402  0.311
Sm  0.845  0.091  0.689
Tc  0.000  0.000  0.000
Hg  0.334  0.333  0.667
Hg  0.666  0.667  0.333

#two
Below is a relaxed structure of Sm6TcHg2, with properties calculated at the GGA-PBE level.

Computed properties:
For the density of states at the Fermi level, the calculation gives 1.3423 states/eV/atom.

Unit cell a=4.080 b=8.626 c=8.459 alpha=120.66 beta=90.00 gamma=90.00
Fractional positions:
Hg  0.000  0.327  0.663
Hg  0.000  0.664  0.337
Sm  0.000  0.993  0.233
Sm  0.500  0.994  0.598
Sm  0.000  0.759  0.767
Sm  0.000  0.247  0.000
Sm  0.500  0.598  0.000
Sm  0.500  0.396  0.402
Tc  0.500  0.021  0.000

Least stable: #one

#one
Below is a relaxed structure of Sm4Hg2Te, with properties calculated at the GGA-PBE level.

Computed properties:
For the density of states at the Fermi level, the calculation gives 0.7719 states/eV/atom.

Unit cell a=5.905 b=6.620 c=10.614 alpha=90.00 beta=100.28 gamma=90.00
Fractional positions:
Te  0.935  0.250  0.836
Te  0.065  0.750  0.164
Sm  0.609  0.984  0.261
Sm  0.816  0.250  0.546
Sm  0.066  0.250  0.138
Sm  0.184  0.750  0.454
Sm  0.609  0.516  0.261
Sm  0.934  0.750  0.862
Sm  0.391  0.484  0.739
Sm  0.391  0.016  0.739
Hg  0.480  0.750  0.991
Hg  0.275  0.250  0.438
Hg  0.725  0.750  0.562
Hg  0.520  0.250  0.009

#two
Below is a relaxed structure of Sm4Hg2Te, with properties calculated at the GGA-PBE level.

Computed properties:
For the density of states at the Fermi level, the calculation gives 1.0227 states/eV/atom.

Unit cell a=8.119 b=8.119 c=8.119 alpha=109.59 beta=109.23 gamma=109.59
Fractional positions:
Sm  0.265  0.249  0.869
Sm  0.765  0.251  0.870
Sm  0.485  0.104  0.235
Sm  0.985  0.604  0.735
Sm  0.130  0.896  0.381
Sm  0.619  0.749  0.515
Sm  0.620  0.751  0.015
Sm  0.131  0.396  0.380
Hg  0.501  0.376  0.625
Hg  0.875  0.124  0.499
Hg  0.249  0.624  0.125
Hg  0.375  0.876  0.751
Te  0.000  0.000  0.000
Te  0.750  0.500  0.250

Least stable: #one